Material: VIn2PbF
Method: DFT, GGA+U
State: relaxed

a = 5.3265 Å, b = 5.1820 Å, c = 5.3265 Å
α = 90.00°, β = 90.00°, γ = 90.00°
Atoms (fractional coordinates):
Pb 0.0000 0.5000 0.0000
F 0.5000 0.5000 0.5000
V 0.0000 0.0000 0.0000
In 0.0000 0.0000 0.5000
In 0.5000 0.0000 0.0000

## Properties
Magnetization ... 0.00 μB/cell
Density of states at the Fermi level ... 0.7624 states/eV per atom
DFT total energy ... -3.30 eV/atom